A geometry-optimized Y2CdSBr structure, computed with PBE-GGA.

```
data_Y2CdSBr
_cell_length_a 5.342
_cell_length_b 5.342
_cell_length_c 5.268
_cell_angle_alpha 90.00
_cell_angle_beta 90.00
_cell_angle_gamma 90.00
_space_group_name_H-M_alt 'P 4/m m m'
_space_group_IT_number 123
_space_group_name_Hall '-P 4 2'
loop_
_atom_site_label
_atom_site_type_symbol
_atom_site_fract_x
_atom_site_fract_y
_atom_site_fract_z
Y1 Y 0.000 0.500 0.000
Cd1 Cd 0.000 0.000 0.500
S1 S 0.500 0.500 0.500
Br1 Br 0.500 0.500 0.000
```

Computed properties:
The value obtained for the energy relative to the elements, uncorrected is 22 meV/atom. The calculation puts the total energy at -3.91 eV/atom.